This record from the Alexandria database describes La6Pt2O after structural relaxation. The functional is PBE.

V in Å³/cell: 512.8
DFT total energy in eV/atom: -6.359
Formation energy without anion corrections in eV per atom: -1.181

Cell lengths 6.705, 7.405, 12.169 Å; angles 90.00, 121.91, 90.00 degrees
Space group P2_1/c (No. 14)
Unique sites:
La (0.110, 0.190, 0.439) x4
La (0.258, 0.665, 0.436) x4
La (0.375, 0.032, 0.237) x4
Pt (0.173, 0.113, 0.737) x4
O (0.000, 0.000, 0.000) x2